Record 1
DFT (PBE) results for crystalline Mo2Os3Pt3 at its relaxed geometry.

The structure belongs to space group Pm (No. 6); the cell edges are 5.537, 4.441 and 5.570 Å and the angles 90.00°, 119.54° and 90.00°. The asymmetric unit holds Mo at (0.000, 0.000, 0.000), Mo at (0.335, 0.500, 0.684), Os at (0.336, 0.500, 0.171), Os at (0.495, 0.000, 0.008), Os at (0.832, 0.500, 0.679), Pt at (0.001, 0.000, 0.505), Pt at (0.495, 0.000, 0.503) and Pt at (0.832, 0.500, 0.174).

For the formation energy, the calculation gives -0.140 eV per atom. Its total energy is -74.66 eV for the cell shown. For the total magnetization, the calculation gives 0.00 μB/f.u.

=====

Record 2
DFT (PBE) results for crystalline LaCdBi at its relaxed geometry.

The structure belongs to space group F-43m (No. 216); the cell edges are 7.576, 7.576 and 7.576 Å and the angles 90.00°, 90.00° and 90.00°. The asymmetric unit holds La at (0.000, 0.000, 0.000), Cd at (0.250, 0.250, 0.250) and Bi at (0.250, 0.250, 0.750).

Its total energy is -44.04 eV for the cell shown. For the total magnetization, the calculation gives 0.00 μB/f.u.

=====

Record 3
DFT (PBE) results for crystalline Nb4PbC2S at its relaxed geometry.

The structure belongs to space group P-6m2 (No. 187); the cell edges are 3.3172, 3.3172 and 12.9157 Å and the angles 90.00°, 90.00° and 120.00°. The asymmetric unit holds Nb at (0.0000, 0.0000, 0.1381), Nb at (0.3333, 0.6667, 0.3108), Pb at (0.0000, 0.0000, 0.5000), C at (0.6667, 0.3333, 0.2280) and S at (0.3333, 0.6667, 0.0000).

Its total energy is -70.87 eV for the cell shown. For the total magnetization, the calculation gives 0.01 μB/f.u.

=====

Record 4
DFT (PBE) results for crystalline SnPt2Pb2 at its relaxed geometry.

The structure belongs to space group P6_3/mmc (No. 194); the cell edges are 4.4792, 4.4792 and 13.8073 Å and the angles 90.00°, 90.00° and 120.00°. The asymmetric unit holds Sn at (0.0000, 0.0000, 0.2500), Pt at (0.3333, 0.6667, 0.1514) and Pb at (0.3333, 0.6667, 0.5719).

Its total energy is -49.89 eV for the cell shown. For the total magnetization, the calculation gives 0.00 μB/f.u.

=====

Record 5
DFT (PBE) results for crystalline NaAlPtPb at its relaxed geometry.

The structure belongs to space group F-43m (No. 216); the cell edges are 6.938, 6.938 and 6.938 Å and the angles 90.00°, 90.00° and 90.00°. The asymmetric unit holds Na at (0.000, 0.000, 0.000), Al at (0.250, 0.250, 0.750), Pt at (0.250, 0.250, 0.250) and Pb at (0.000, 0.000, 0.500).

Its total energy is -58.39 eV for the cell shown. For the total magnetization, the calculation gives 0.00 μB/f.u.

=====

Record 6
DFT (PBE) results for crystalline ScCd2 at its relaxed geometry.

The structure belongs to space group Fd-3m (No. 227, origin choice 2); the cell edges are 8.020, 8.020 and 8.020 Å and the angles 90.00°, 90.00° and 90.00°. The asymmetric unit holds Sc at (0.125, 0.125, 0.125) and Cd at (0.000, 0.000, 0.500).

For the formation energy, the calculation gives -0.157 eV per atom. Its total energy is -68.71 eV for the cell shown. For the total magnetization, the calculation gives 0.32 μB/f.u.